[1]
First-principles (GGA-PBEsol) data for crystalline NaCu2O2 at its relaxed geometry, as listed in Alexandria.

Output
energy above the lowest structure with this stoichiometry	8	meV per atom
total magnetization	7.5	μB per cell
ρ	5.21	g/cm³

POSCAR file:
```
NaCu2O2
1.0
5.969 0.000 0.000
0.000 5.969 0.000
0.000 0.000 13.027
Na Cu O
8 16 16
Direct
0.012 0.250 0.172
0.250 0.012 0.672
0.250 0.488 0.672
0.488 0.250 0.172
0.512 0.750 0.828
0.750 0.512 0.328
0.750 0.988 0.328
0.988 0.750 0.828
0.002 0.750 0.138
0.002 0.750 0.506
0.250 0.502 0.362
0.250 0.502 0.994
0.250 0.998 0.362
0.250 0.998 0.994
0.498 0.750 0.138
0.498 0.750 0.506
0.502 0.250 0.494
0.502 0.250 0.862
0.750 0.002 0.006
0.750 0.002 0.638
0.750 0.498 0.006
0.750 0.498 0.638
0.998 0.250 0.494
0.998 0.250 0.862
0.032 0.250 0.353
0.034 0.750 0.367
0.250 0.032 0.853
0.250 0.468 0.853
0.250 0.534 0.133
0.250 0.966 0.133
0.466 0.750 0.367
0.468 0.250 0.353
0.532 0.750 0.647
0.534 0.250 0.633
0.750 0.034 0.867
0.750 0.466 0.867
0.750 0.532 0.147
0.750 0.968 0.147
0.966 0.250 0.633
0.968 0.750 0.647
```


[2]
First-principles (GGA-PBEsol) data for crystalline NaCu3O4 at its relaxed geometry, as listed in Alexandria.

Output
energy above the lowest structure with this stoichiometry	69	meV per atom
total magnetization	0.0	μB per cell
ρ	4.86	g/cm³

POSCAR file:
```
NaCu3O4
1.0
5.383 0.000 0.000
0.000 10.682 0.000
0.000 0.000 3.300
Na Cu O
2 6 8
Direct
0.000 0.000 0.000
0.500 0.500 0.000
0.000 0.242 0.500
0.000 0.500 0.500
0.000 0.758 0.500
0.500 0.000 0.500
0.500 0.258 0.500
0.500 0.742 0.500
0.237 0.370 0.500
0.237 0.630 0.500
0.263 0.130 0.500
0.263 0.870 0.500
0.737 0.130 0.500
0.737 0.870 0.500
0.763 0.370 0.500
0.763 0.630 0.500
```


[3]
First-principles (GGA-PBEsol) data for crystalline Na8Cu5O10 at its relaxed geometry, as listed in Alexandria.

Output
calculated total energy	-4.77	eV/atom
total magnetization	2.7	μB per cell
ρ	3.64	g/cm³

POSCAR file:
```
Na8Cu5O10
1.0
4.160 -6.939 0.000
4.160 6.939 0.000
-2.120 0.000 5.223
Na Cu O
8 5 10
Direct
0.000 0.000 0.000
0.121 0.344 0.766
0.233 0.787 0.000
0.344 0.121 0.766
0.549 0.818 0.735
0.564 0.564 0.048
0.787 0.233 0.000
0.818 0.549 0.735
0.066 0.667 0.389
0.258 0.458 0.357
0.458 0.258 0.357
0.667 0.066 0.389
0.885 0.885 0.417
0.036 0.826 0.650
0.098 0.510 0.130
0.213 0.606 0.612
0.304 0.304 0.109
0.426 0.426 0.605
0.510 0.098 0.130
0.606 0.213 0.612
0.729 0.923 0.160
0.826 0.036 0.650
0.923 0.729 0.160
```


[4]
First-principles (GGA-PBEsol) data for crystalline Na4CuO3 at its relaxed geometry, as listed in Alexandria.

Output
calculated total energy	-4.30	eV/atom
total magnetization	2.0	μB per cell
ρ	2.93	g/cm³

POSCAR file:
```
Na4CuO3
1.0
5.558 -2.828 0.000
5.558 2.828 0.000
-3.312 0.000 7.350
Na Cu O
8 2 6
Direct
0.149 0.851 0.500
0.412 0.982 0.910
0.444 0.749 0.186
0.602 0.950 0.593
0.749 0.444 0.686
0.851 0.149 0.000
0.950 0.602 0.093
0.982 0.412 0.410
0.227 0.510 0.810
0.510 0.227 0.310
0.190 0.210 0.669
0.210 0.190 0.169
0.527 0.538 0.894
0.538 0.527 0.394
0.763 0.869 0.348
0.869 0.763 0.848
```


[5]
First-principles (GGA-PBEsol) data for crystalline Na3Cu5O4 at its relaxed geometry, as listed in Alexandria.

Output
calculated total energy	-4.69	eV/atom
total magnetization	0.0	μB per cell
ρ	4.24	g/cm³

POSCAR file:
```
Na3Cu5O4
1.0
8.560 0.000 0.000
0.000 6.720 0.000
-3.877 0.000 12.274
Na Cu O
12 20 16
Direct
0.093 0.148 0.087
0.093 0.352 0.587
0.262 0.735 0.577
0.262 0.765 0.077
0.343 0.073 0.900
0.343 0.427 0.400
0.657 0.573 0.600
0.657 0.927 0.100
0.738 0.235 0.923
0.738 0.265 0.423
0.907 0.648 0.413
0.907 0.852 0.913
0.051 0.070 0.405
0.051 0.430 0.905
0.069 0.677 0.746
0.069 0.823 0.246
0.314 0.531 0.890
0.314 0.969 0.390
0.413 0.154 0.595
0.413 0.346 0.095
0.438 0.084 0.235
0.438 0.416 0.735
0.562 0.584 0.265
0.562 0.916 0.765
0.587 0.654 0.905
0.587 0.846 0.405
0.686 0.031 0.610
0.686 0.469 0.110
0.931 0.177 0.754
0.931 0.323 0.254
0.949 0.570 0.095
0.949 0.930 0.595
0.011 0.672 0.600
0.011 0.828 0.100
0.135 0.683 0.896
0.135 0.817 0.396
0.372 0.079 0.087
0.372 0.421 0.587
0.500 0.104 0.384
0.500 0.396 0.884
0.500 0.604 0.116
0.500 0.896 0.616
0.628 0.579 0.413
0.628 0.921 0.913
0.865 0.183 0.604
0.865 0.317 0.104
0.989 0.172 0.900
0.989 0.328 0.400
```


[6]
First-principles (GGA-PBEsol) data for crystalline Na5Cu7O13 at its relaxed geometry, as listed in Alexandria.

Output
calculated total energy	-5.02	eV/atom
total magnetization	0.0	μB per cell
ρ	4.16	g/cm³

POSCAR file:
```
Na5Cu7O13
1.0
6.340 0.000 0.000
-1.975 6.604 0.000
-1.199 -1.651 7.325
Na Cu O
5 7 13
Direct
0.000 0.000 0.000
0.055 0.145 0.602
0.375 0.414 0.158
0.553 0.573 0.871
0.699 0.713 0.551
0.050 0.567 0.863
0.131 0.671 0.549
0.245 0.804 0.261
0.503 0.990 0.037
0.610 0.227 0.426
0.644 0.143 0.760
0.873 0.408 0.155
0.030 0.341 0.971
0.071 0.795 0.756
0.091 0.870 0.429
0.156 0.540 0.323
0.194 0.489 0.683
0.376 0.075 0.224
0.418 0.742 0.101
0.598 0.255 0.987
0.629 0.011 0.531
0.630 0.913 0.851
0.699 0.375 0.664
0.709 0.454 0.332
0.927 0.675 0.036
```


[7]
First-principles (GGA-PBEsol) data for crystalline NaCu2O2 at its relaxed geometry, as listed in Alexandria.

Output
energy above the lowest structure with this stoichiometry	0	meV per atom
total magnetization	3.7	μB per cell
ρ	5.15	g/cm³

POSCAR file:
```
NaCu2O2
1.0
6.091 0.000 0.000
0.000 2.932 0.000
0.000 0.000 13.150
Na Cu O
4 8 8
Direct
0.161 0.250 0.076
0.339 0.750 0.576
0.661 0.250 0.424
0.839 0.750 0.924
0.100 0.250 0.757
0.147 0.250 0.385
0.353 0.750 0.885
0.400 0.750 0.257
0.600 0.250 0.743
0.647 0.250 0.115
0.853 0.750 0.615
0.900 0.750 0.243
0.066 0.250 0.620
0.135 0.250 0.896
0.365 0.750 0.396
0.434 0.750 0.120
0.566 0.250 0.880
0.635 0.250 0.604
0.865 0.750 0.104
0.934 0.750 0.380
```


[8]
First-principles (GGA-PBEsol) data for crystalline Na2Cu3O4 at its relaxed geometry, as listed in Alexandria.

Output
calculated total energy	-4.93	eV/atom
total magnetization	0.0	μB per cell
ρ	5.08	g/cm³

POSCAR file:
```
Na2Cu3O4
1.0
-1.463 2.648 6.337
1.463 -2.648 6.337
1.463 2.648 -6.337
Na Cu O
2 3 4
Direct
0.203 0.203 0.000
0.797 0.797 0.000
0.000 0.500 0.500
0.398 0.898 0.500
0.602 0.102 0.500
0.150 0.389 0.761
0.372 0.611 0.761
0.628 0.389 0.239
0.850 0.611 0.239
```


[9]
First-principles (GGA-PBEsol) data for crystalline Na6Cu9P8O32 at its relaxed geometry, as listed in Alexandria.

Output
calculated total energy	-6.45	eV/atom
total magnetization	9.0	μB per cell
ρ	3.89	g/cm³

POSCAR file:
```
Na6Cu9P8O32
1.0
8.788 0.000 0.000
-1.945 8.706 0.000
-1.647 -4.141 8.205
Na Cu P O
6 9 8 32
Direct
0.008 0.300 0.243
0.330 0.308 0.847
0.354 0.064 0.435
0.646 0.936 0.565
0.670 0.692 0.153
0.992 0.700 0.757
0.000 0.000 0.500
0.000 0.500 0.000
0.194 0.732 0.435
0.290 0.118 0.072
0.340 0.700 0.946
0.500 0.500 0.500
0.660 0.300 0.054
0.710 0.882 0.928
0.806 0.268 0.565
0.036 0.878 0.147
0.167 0.376 0.591
0.341 0.584 0.230
0.394 0.941 0.789
0.606 0.059 0.211
0.659 0.416 0.770
0.833 0.624 0.409
0.964 0.122 0.853
0.012 0.662 0.502
0.070 0.879 0.317
0.101 0.737 0.040
0.125 0.058 0.168
0.149 0.168 0.927
0.150 0.528 0.202
0.195 0.202 0.569
0.196 0.483 0.777
0.276 0.821 0.831
0.277 0.463 0.515
0.303 0.947 0.635
0.385 0.581 0.078
0.396 0.769 0.373
0.417 0.464 0.277
0.444 0.127 0.936
0.451 0.106 0.233
0.549 0.894 0.767
0.556 0.873 0.064
0.583 0.536 0.723
0.604 0.231 0.627
0.615 0.419 0.922
0.697 0.053 0.365
0.723 0.537 0.485
0.724 0.179 0.169
0.804 0.517 0.223
0.805 0.798 0.431
0.850 0.472 0.798
0.851 0.832 0.073
0.875 0.942 0.832
0.899 0.263 0.960
0.930 0.121 0.683
0.988 0.338 0.498
```


[10]
First-principles (GGA-PBEsol) data for crystalline NaCuP4O12 at its relaxed geometry, as listed in Alexandria.

Output
calculated total energy	-6.98	eV/atom
total magnetization	0.0	μB per cell
ρ	2.75	g/cm³

POSCAR file:
```
NaCuP4O12
1.0
4.715 -6.346 0.000
4.715 6.346 0.000
-0.814 0.000 8.112
Na Cu P O
2 2 8 24
Direct
0.163 0.837 0.500
0.837 0.163 0.000
0.520 0.803 0.927
0.803 0.520 0.427
0.115 0.392 0.332
0.207 0.898 0.069
0.392 0.115 0.832
0.458 0.613 0.497
0.613 0.458 0.997
0.729 0.874 0.347
0.874 0.729 0.847
0.898 0.207 0.569
0.001 0.818 0.009
0.033 0.544 0.374
0.070 0.296 0.169
0.080 0.265 0.480
0.227 0.932 0.249
0.265 0.080 0.980
0.292 0.767 0.982
0.296 0.070 0.669
0.323 0.484 0.357
0.369 0.658 0.641
0.484 0.323 0.857
0.530 0.607 0.034
0.532 0.784 0.396
0.544 0.033 0.874
0.607 0.530 0.534
0.658 0.369 0.141
0.725 0.969 0.197
0.733 0.827 0.836
0.767 0.292 0.482
0.784 0.532 0.896
0.818 0.001 0.509
0.827 0.733 0.336
0.932 0.227 0.749
0.969 0.725 0.697
```


[11]
First-principles (GGA-PBEsol) data for crystalline NaCuP3O9 at its relaxed geometry, as listed in Alexandria.

Output
calculated total energy	-6.97	eV/atom
total magnetization	4.2	μB per cell
ρ	3.19	g/cm³

POSCAR file:
```
NaCuP3O9
1.0
8.305 0.000 0.000
0.000 8.991 0.000
0.000 0.000 9.028
Na Cu P O
4 4 12 36
Direct
0.120 0.068 0.110
0.380 0.932 0.610
0.620 0.432 0.890
0.880 0.568 0.390
0.104 0.859 0.385
0.396 0.141 0.885
0.604 0.641 0.615
0.896 0.359 0.115
0.045 0.669 0.048
0.058 0.061 0.733
0.233 0.584 0.564
0.267 0.416 0.064
0.442 0.939 0.233
0.455 0.331 0.548
0.545 0.831 0.952
0.558 0.439 0.267
0.733 0.916 0.436
0.767 0.084 0.936
0.942 0.561 0.767
0.955 0.169 0.452
0.025 0.194 0.616
0.067 0.071 0.361
0.087 0.816 0.112
0.105 0.924 0.650
0.119 0.536 0.698
0.129 0.326 0.123
0.135 0.649 0.440
0.163 0.119 0.856
0.207 0.576 0.011
0.293 0.424 0.511
0.337 0.881 0.356
0.365 0.351 0.940
0.371 0.674 0.623
0.381 0.464 0.198
0.395 0.076 0.150
0.413 0.184 0.612
0.433 0.929 0.861
0.475 0.806 0.116
0.525 0.306 0.384
0.567 0.429 0.639
0.587 0.684 0.888
0.605 0.576 0.350
0.619 0.964 0.302
0.629 0.174 0.877
0.635 0.851 0.560
0.663 0.381 0.144
0.707 0.924 0.989
0.793 0.076 0.489
0.837 0.619 0.644
0.865 0.149 0.060
0.871 0.826 0.377
0.881 0.036 0.802
0.895 0.424 0.850
0.913 0.316 0.388
0.933 0.571 0.139
0.975 0.694 0.884
```